# Na2TlMoF6, relaxed, DFT PBE+U
data_Na2TlMoF6
_chemical_formula_sum 'Na4 Tl2 Mo2 F12'
_cell_length_a 6.137
_cell_length_b 6.299
_cell_length_c 10.583
_cell_angle_alpha 90.00
_cell_angle_beta 124.63
_cell_angle_gamma 90.00
_symmetry_space_group_name_H-M 'P 1 21/c 1'
_symmetry_Int_Tables_number 14
_symmetry_space_group_name_Hall '-P 2ybc'
loop_
_atom_site_label
_atom_site_type_symbol
_atom_site_fract_x
_atom_site_fract_y
_atom_site_fract_z
_atom_site_occupancy
Na1 Na 0.235 0.015 0.215 1
Tl1 Tl 0.000 0.000 0.500 1
Mo1 Mo 0.500 0.000 0.000 1
F1 F 0.164 0.128 0.977 1
F2 F 0.253 0.740 0.873 1
F3 F 0.429 0.151 0.801 1
# - DOS(E_F) (states/eV/f.u.) = 0.0
# - total moment (Bohr magnetons per cell) = 6.00
# - total energy (eV/atom) = -4.8519
# - calculated volume (Å³ per cell) = 336.62